No. 1
DFT (PBEsol) results for a geometry-optimized SmBrO structure.

It has space group P4/nmm (No. 129, origin choice 2), with a = 3.910 Å, b = 3.910 Å, c = 8.050 Å, α = 90.00°, β = 90.00° and γ = 90.00°. The inequivalent atoms are Sm at (0.250, 0.250, 0.145), Br at (0.250, 0.250, 0.658) and O at (0.250, 0.750, 0.000).

For the uncorrected formation energy, the calculation gives -283 kJ per mole of atoms. As for the total DFT energy (no corrections): -6.999 eV per atom. Its crystal system is tetragonal.

No. 2
DFT (PBEsol) results for a geometry-optimized SnBrO2 structure.

It has space group R-3m (No. 166, hexagonal axes), with a = 3.1529 Å, b = 3.1529 Å, c = 29.0395 Å, α = 90.00°, β = 90.00° and γ = 120.00°. The inequivalent atoms are Sn at (0.0000, 0.0000, 0.0000), Br at (0.0000, 0.0000, 0.5000) and O at (0.0000, 0.0000, 0.3687).

For the uncorrected formation energy, the calculation gives -97 kJ per mole of atoms. As for the total DFT energy (no corrections): -5.160 eV per atom. Its crystal system is trigonal.

No. 3
DFT (PBEsol) results for a geometry-optimized SnBr2O structure.

It has space group R-3m (No. 166, hexagonal axes), with a = 3.4659 Å, b = 3.4659 Å, c = 25.8587 Å, α = 90.00°, β = 90.00° and γ = 120.00°. The inequivalent atoms are Sn at (0.0000, 0.0000, 0.0000), Br at (0.0000, 0.0000, 0.1035) and O at (0.0000, 0.0000, 0.5000).

For the uncorrected formation energy, the calculation gives 47 kJ per mole of atoms. As for the total DFT energy (no corrections): -2.821 eV per atom. Its crystal system is trigonal.